(1)
# Na2CdTcB GGA-PBE relaxed
# Electronic total energy in eV/cell: -15.67
# ΔH_f (0 K) in meV/atom: 986
# Density in Mg/m³: 3.3
data_Na2CdTcB
_space_group_name_H-M_alt 'P 1'
_space_group_IT_number 1
_space_group_name_Hall 'P 1'
_cell_length_a 5.826
_cell_length_b 3.952
_cell_length_c 5.826
_cell_angle_alpha 90.00
_cell_angle_beta 90.00
_cell_angle_gamma 90.00
loop_
_atom_site_label
_atom_site_type_symbol
_atom_site_fract_x
_atom_site_fract_y
_atom_site_fract_z
Na1 Na 0.000 0.000 0.500
Na2 Na 0.500 0.000 0.000
B1 B 0.000 0.500 0.000
Tc1 Tc 0.000 0.000 0.000
Cd1 Cd 0.500 0.500 0.500

(2)
# Na2TlCdB GGA-PBE relaxed
# Electronic total energy in eV/cell: -9.78
# ΔH_f (0 K) in meV/atom: 564
# Density in Mg/m³: 4.5
data_Na2TlCdB
_space_group_name_H-M_alt 'P 1'
_space_group_IT_number 1
_space_group_name_Hall 'P 1'
_cell_length_a 5.713
_cell_length_b 4.235
_cell_length_c 5.713
_cell_angle_alpha 90.00
_cell_angle_beta 90.00
_cell_angle_gamma 90.00
loop_
_atom_site_label
_atom_site_type_symbol
_atom_site_fract_x
_atom_site_fract_y
_atom_site_fract_z
Na1 Na 0.000 0.000 0.500
Na2 Na 0.500 0.000 0.000
Tl1 Tl 0.500 0.500 0.500
B1 B 0.000 0.500 0.000
Cd1 Cd 0.000 0.000 0.000

(3)
# NaTlCdB2 GGA-PBE relaxed
# Electronic total energy in eV/cell: -9.94
# ΔH_f (0 K) in meV/atom: 1603
# Density in Mg/m³: 4.8
data_NaTlCdB2
_space_group_name_H-M_alt 'P 1'
_space_group_IT_number 1
_space_group_name_Hall 'P 1'
_cell_length_a 4.632
_cell_length_b 5.849
_cell_length_c 4.632
_cell_angle_alpha 90.00
_cell_angle_beta 90.00
_cell_angle_gamma 90.00
loop_
_atom_site_label
_atom_site_type_symbol
_atom_site_fract_x
_atom_site_fract_y
_atom_site_fract_z
Na1 Na 0.500 0.500 0.500
Tl1 Tl 0.000 0.000 0.000
B1 B 0.000 0.000 0.500
B2 B 0.500 0.000 0.000
Cd1 Cd 0.000 0.500 0.000

(4)
# NaZn2CdB GGA-PBE relaxed
# Electronic total energy in eV/cell: -3.62
# ΔH_f (0 K) in meV/atom: 1568
# Density in Mg/m³: 3.2
data_NaZn2CdB
_space_group_name_H-M_alt 'P 1'
_space_group_IT_number 1
_space_group_name_Hall 'P 1'
_cell_length_a 5.127
_cell_length_b 5.457
_cell_length_c 5.127
_cell_angle_alpha 90.00
_cell_angle_beta 90.00
_cell_angle_gamma 90.00
loop_
_atom_site_label
_atom_site_type_symbol
_atom_site_fract_x
_atom_site_fract_y
_atom_site_fract_z
Na1 Na 0.000 0.000 0.000
Zn1 Zn 0.000 0.000 0.500
Zn2 Zn 0.500 0.000 0.000
B1 B 0.500 0.500 0.500
Cd1 Cd 0.000 0.500 0.000

(5)
# NbCd2B2 GGA-PBE relaxed
# Polymorph energy (0 for the lowest one) in meV per atom: 57
# Electronic total energy in eV/cell: -18.94
# ΔH_f (0 K) in meV/atom: 1263
# Density in Mg/m³: 7.4
data_NbCd2B2
_space_group_name_H-M_alt 'P 1'
_space_group_IT_number 1
_space_group_name_Hall 'P 1'
_cell_length_a 4.209
_cell_length_b 4.209
_cell_length_c 5.237
_cell_angle_alpha 66.31
_cell_angle_beta 66.31
_cell_angle_gamma 90.00
loop_
_atom_site_label
_atom_site_type_symbol
_atom_site_fract_x
_atom_site_fract_y
_atom_site_fract_z
Nb1 Nb 0.000 0.000 0.000
B1 B 0.750 0.250 0.500
B2 B 0.250 0.750 0.500
Cd1 Cd 0.352 0.352 0.297
Cd2 Cd 0.648 0.648 0.703

(6)
# NbCd2B2 GGA-PBE relaxed
# Polymorph energy (0 for the lowest one) in meV per atom: 0
# Electronic total energy in eV/cell: -38.44
# ΔH_f (0 K) in meV/atom: 1207
# Density in Mg/m³: 7.6
data_NbCd2B2
_space_group_name_H-M_alt 'P 1'
_space_group_IT_number 1
_space_group_name_Hall 'P 1'
_cell_length_a 7.253
_cell_length_b 7.253
_cell_length_c 2.828
_cell_angle_alpha 90.00
_cell_angle_beta 90.00
_cell_angle_gamma 90.00
loop_
_atom_site_label
_atom_site_type_symbol
_atom_site_fract_x
_atom_site_fract_y
_atom_site_fract_z
Nb1 Nb 0.000 0.000 0.000
Nb2 Nb 0.500 0.500 0.000
B1 B 0.178 0.678 0.500
B2 B 0.678 0.822 0.500
B3 B 0.822 0.322 0.500
B4 B 0.322 0.178 0.500
Cd1 Cd 0.371 0.871 0.000
Cd2 Cd 0.871 0.629 0.000
Cd3 Cd 0.629 0.129 0.000
Cd4 Cd 0.129 0.371 0.000

(7)
# Nb2CdBS GGA-PBE relaxed
# ΔE_f (raw) in eV per atom: 0.703
# Electronic total energy in eV/cell: -28.34
# Density in Mg/m³: 6.7
data_Nb2CdBS
_space_group_name_H-M_alt 'P 1'
_space_group_IT_number 1
_space_group_name_Hall 'P 1'
_cell_length_a 4.696
_cell_length_b 3.846
_cell_length_c 4.696
_cell_angle_alpha 90.00
_cell_angle_beta 90.00
_cell_angle_gamma 90.00
loop_
_atom_site_label
_atom_site_type_symbol
_atom_site_fract_x
_atom_site_fract_y
_atom_site_fract_z
Nb1 Nb 0.000 0.000 0.500
Nb2 Nb 0.500 0.000 0.000
B1 B 0.000 0.500 0.000
S1 S 0.000 0.000 0.000
Cd1 Cd 0.500 0.500 0.500

(8)
# NbCd2BSb GGA-PBE relaxed
# ΔE_f (raw) in eV per atom: 1.641
# Electronic total energy in eV/cell: -14.50
# Density in Mg/m³: 5.7
data_NbCd2BSb
_space_group_name_H-M_alt 'P 1'
_space_group_IT_number 1
_space_group_name_Hall 'P 1'
_cell_length_a 5.522
_cell_length_b 4.306
_cell_length_c 5.522
_cell_angle_alpha 90.00
_cell_angle_beta 90.00
_cell_angle_gamma 90.00
loop_
_atom_site_label
_atom_site_type_symbol
_atom_site_fract_x
_atom_site_fract_y
_atom_site_fract_z
Sb1 Sb 0.000 0.000 0.000
Nb1 Nb 0.500 0.500 0.500
B1 B 0.000 0.500 0.000
Cd1 Cd 0.000 0.000 0.500
Cd2 Cd 0.500 0.000 0.000

(9)
# Nb2CdBSb GGA-PBE relaxed
# ΔE_f (raw) in eV per atom: 2.212
# Electronic total energy in eV/cell: -20.79
# Density in Mg/m³: 5.3
data_Nb2CdBSb
_space_group_name_H-M_alt 'P 1'
_space_group_IT_number 1
_space_group_name_Hall 'P 1'
_cell_length_a 5.131
_cell_length_b 5.138
_cell_length_c 5.131
_cell_angle_alpha 90.00
_cell_angle_beta 90.00
_cell_angle_gamma 90.00
loop_
_atom_site_label
_atom_site_type_symbol
_atom_site_fract_x
_atom_site_fract_y
_atom_site_fract_z
Sb1 Sb 0.000 0.000 0.000
Nb1 Nb 0.000 0.000 0.500
Nb2 Nb 0.500 0.000 0.000
B1 B 0.500 0.500 0.500
Cd1 Cd 0.000 0.500 0.000

(10)
# SrNb2CdB GGA-PBE relaxed
# Electronic total energy in eV/cell: -17.80
# ΔH_f (0 K) in meV/atom: 2323
# Density in Mg/m³: 4.3
data_SrNb2CdB
_space_group_name_H-M_alt 'P 1'
_space_group_IT_number 1
_space_group_name_Hall 'P 1'
_cell_length_a 5.116
_cell_length_b 5.822
_cell_length_c 5.116
_cell_angle_alpha 90.00
_cell_angle_beta 90.00
_cell_angle_gamma 90.00
loop_
_atom_site_label
_atom_site_type_symbol
_atom_site_fract_x
_atom_site_fract_y
_atom_site_fract_z
Sr1 Sr 0.000 0.500 0.000
Nb1 Nb 0.000 0.000 0.500
Nb2 Nb 0.500 0.000 0.000
B1 B 0.500 0.500 0.500
Cd1 Cd 0.000 0.000 0.000

(11)
# NbTlCd2B GGA-PBE relaxed
# Electronic total energy in eV/cell: -12.75
# ΔH_f (0 K) in meV/atom: 1639
# Density in Mg/m³: 7.0
data_NbTlCd2B
_space_group_name_H-M_alt 'P 1'
_space_group_IT_number 1
_space_group_name_Hall 'P 1'
_cell_length_a 5.569
_cell_length_b 4.081
_cell_length_c 5.569
_cell_angle_alpha 90.00
_cell_angle_beta 90.00
_cell_angle_gamma 90.00
loop_
_atom_site_label
_atom_site_type_symbol
_atom_site_fract_x
_atom_site_fract_y
_atom_site_fract_z
Tl1 Tl 0.000 0.000 0.000
B1 B 0.000 0.500 0.000
Nb1 Nb 0.500 0.500 0.500
Cd1 Cd 0.000 0.000 0.500
Cd2 Cd 0.500 0.000 0.000

(12)
# Nd2CdBPd6 GGA-PBE relaxed
# Electronic total energy in eV/cell: -54.53
# ΔH_f (0 K) in meV/atom: -625
# Density in Mg/m³: 9.2
data_Nd2CdBPd6
_space_group_name_H-M_alt 'P 1'
_space_group_IT_number 1
_space_group_name_Hall 'P 1'
_cell_length_a 6.483
_cell_length_b 5.814
_cell_length_c 5.814
_cell_angle_alpha 120.00
_cell_angle_beta 90.00
_cell_angle_gamma 90.00
loop_
_atom_site_label
_atom_site_type_symbol
_atom_site_fract_x
_atom_site_fract_y
_atom_site_fract_z
Nd1 Nd 0.310 0.333 0.667
Nd2 Nd 0.690 0.667 0.333
Cd1 Cd 0.500 0.000 0.000
B1 B 0.000 0.000 0.000
Pd1 Pd 0.821 0.177 0.354
Pd2 Pd 0.821 0.177 0.823
Pd3 Pd 0.821 0.646 0.823
Pd4 Pd 0.179 0.823 0.177
Pd5 Pd 0.179 0.354 0.177
Pd6 Pd 0.179 0.823 0.646